Entry 1:
Compound: Ce2Al4InCu3
Source: Alexandria via LeMat-Bulk
Functional: GGA-PBE
Structure: relaxed

Results
calculated total energy: -4.53 eV per atom
theoretical density: 6.017 g/cm³
ΔE_f: -345.1 meV per atom
calculated volume: 191.4 Å³ per cell
magnetization: 1.017 Bohr magnetons per cell

a b c (Å): 4.2522 4.2522 10.5862
angles (deg): 90.00 90.00 90.00
Last column: nearest neighbours and their distance in Å.
Fractional positions:
Ce  0.0000  0.5000  0.2383  8 Al 3.22-3.30, 6 Cu 3.25-3.49, 2 In 3.49
Ce  0.5000  0.0000  0.7617  8 Al 3.22-3.30, 6 Cu 3.25-3.49, 2 In 3.49
Al  0.0000  0.0000  0.0000  4 Cu 2.49
Al  0.0000  0.5000  0.6532  1 Cu 2.37
Al  0.5000  0.0000  0.3468  1 Cu 2.37
Al  0.5000  0.5000  0.0000  4 Cu 2.49
In  0.0000  0.0000  0.5000  4 Al 2.67
Cu  0.0000  0.5000  0.8776  5 Al 2.37-2.49
Cu  0.5000  0.0000  0.1224  5 Al 2.37-2.49
Cu  0.5000  0.5000  0.5000  4 Al 2.67

***

Entry 2:
Compound: MnTc2Ge
Source: Alexandria via LeMat-Bulk
Functional: GGA-PBE
Structure: relaxed

Results
calculated total energy: -8.17 eV per atom
theoretical density: 8.292 g/cm³
ΔE_f: 460.0 meV per atom
calculated volume: 64.8 Å³ per cell
magnetization: 3.303 Bohr magnetons per cell

a b c (Å): 6.2495 6.2495 6.2495
angles (deg): 154.37 142.01 46.40
Last column: nearest neighbours and their distance in Å.
Fractional positions:
Mn  0.0000  0.0000  0.0000  4 Ge 2.46
Tc  0.2910  0.2910  0.0000  1 Ge 2.40, 4 Tc 2.64
Tc  0.7090  0.7090  0.0000  1 Ge 2.40, 4 Tc 2.64
Ge  0.5000  0.5000  0.0000  2 Tc 2.40, 4 Mn 2.46

***

Entry 3:
Compound: Ca2CoIr2
Source: Alexandria via LeMat-Bulk
Functional: GGA-PBE
Structure: relaxed

Results
calculated total energy: -5.91 eV per atom
theoretical density: 8.946 g/cm³
ΔE_f: -143.0 meV per atom
calculated volume: 194.4 Å³ per cell
magnetization: 2.860 Bohr magnetons per cell

a b c (Å): 6.4677 6.4677 4.6461
angles (deg): 90.00 90.00 90.00
Last column: nearest neighbours and their distance in Å.
Fractional positions:
Ca  0.1776  0.3224  0.0000  6 Ir 2.89-3.09
Ca  0.3224  0.8224  0.0000  6 Ir 2.89-3.09
Ca  0.6776  0.1776  0.0000  6 Ir 2.89-3.09
Ca  0.8224  0.6776  0.0000  6 Ir 2.89-3.09
Co  0.0000  0.0000  0.5000  4 Ir 2.52
Co  0.5000  0.5000  0.5000  4 Ir 2.52
Ir  0.1350  0.6350  0.5000  1 Ir 2.47, 2 Co 2.52
Ir  0.3650  0.1350  0.5000  1 Ir 2.47, 2 Co 2.52
Ir  0.6350  0.8650  0.5000  1 Ir 2.47, 2 Co 2.52
Ir  0.8650  0.3650  0.5000  1 Ir 2.47, 2 Co 2.52